(1)
Computed, not measured: a geometry-optimized La2TbSn7 structure at the GGA-PBE level of DFT.

Results
As for the space-group type: Cmmm. The total energy comes out at -4.855 eV/atom. The total magnetization comes out at 0.0 μB per cell.

Geometry as POSCAR:
```
La2TbSn7
1.0
-3.743 -0.527 12.722
-0.531 -0.994 -13.224
1.540 -4.417 0.270
Sn Tb La
7 1 2
direct
0.408 0.592 0.000
0.093 0.907 0.500
0.500 0.500 0.500
0.711 0.289 0.500
0.289 0.711 0.500
0.907 0.093 0.500
0.592 0.408 0.000
0.000 0.000 0.000
0.184 0.816 0.000
0.816 0.184 0.000
```

=====

(2)
Computed, not measured: a geometry-optimized LaTb2Sn7 structure at the GGA-PBE level of DFT.

Results
As for the space-group type: Cmmm. The total energy comes out at -4.803 eV/atom. The total magnetization comes out at 0.0 μB per cell.

Geometry as POSCAR:
```
LaTb2Sn7
1.0
2.290 -12.636 0.000
2.290 12.636 0.000
0.000 0.000 4.637
Sn La Tb
7 1 2
direct
0.500 0.500 0.500
0.292 0.708 0.500
0.901 0.099 0.500
0.099 0.901 0.500
0.402 0.598 0.000
0.598 0.402 0.000
0.708 0.292 0.500
0.000 0.000 0.000
0.812 0.188 0.000
0.188 0.812 0.000
```

=====

(3)
Computed, not measured: a geometry-optimized LaTcSn structure at the GGA-PBE level of DFT.

Results
As for the space-group type: F-43m. The total energy comes out at -6.047 eV/atom. The total magnetization comes out at 0.3 μB per cell.

Geometry as POSCAR:
```
LaTcSn
1.0
-4.620 -1.033 1.117
-1.892 1.554 4.203
-3.349 3.528 0.003
Sn Tc La
1 1 1
direct
0.000 0.000 0.000
0.750 0.750 0.750
0.250 0.250 0.250
```

=====

(4)
Computed, not measured: a geometry-optimized LaThSn structure at the GGA-PBE level of DFT.

Results
As for the space-group type: F-43m. The total energy comes out at -5.683 eV/atom. The total magnetization comes out at 0.0 μB per cell. The calculation puts the energy above the most stable polymorph in this dataset at 0.0000 eV per atom.

Geometry as POSCAR:
```
LaThSn
1.0
2.658 1.535 4.341
-2.658 1.535 4.341
0.000 -3.070 4.341
La Th Sn
1 1 1
direct
0.750 0.750 0.750
0.250 0.250 0.250
0.000 0.000 0.000
```

=====

(5)
Computed, not measured: a geometry-optimized LaTmSn2 structure at the GGA-PBE level of DFT.

Results
As for the space-group type: Amm2. The total energy comes out at -4.294 eV/atom. The total magnetization comes out at 0.0 μB per cell.

Geometry as POSCAR:
```
LaTmSn2
1.0
3.365 0.000 0.000
0.000 3.185 6.222
0.000 -3.185 6.222
La Sn Tm
1 2 1
direct
0.000 0.636 0.636
0.000 0.890 0.890
0.000 0.118 0.118
0.000 0.356 0.356
```

=====

(6)
Computed, not measured: a geometry-optimized La2Zn5Sn structure at the GGA-PBE level of DFT.

Results
As for the space-group type: Cmcm. The total energy comes out at -2.994 eV/atom. The total magnetization comes out at 0.0 μB per cell.

Geometry as POSCAR:
```
La2Zn5Sn
1.0
2.270 -8.376 0.000
2.270 8.376 0.000
0.000 0.000 9.134
Sn Zn La
2 10 4
direct
0.943 0.057 0.750
0.057 0.943 0.250
0.156 0.844 0.486
0.156 0.844 0.014
0.844 0.156 0.986
0.897 0.103 0.250
0.103 0.897 0.750
0.315 0.685 0.109
0.315 0.685 0.391
0.685 0.315 0.609
0.685 0.315 0.891
0.844 0.156 0.514
0.707 0.293 0.250
0.500 0.500 0.000
0.500 0.500 0.500
0.293 0.707 0.750
```

=====

(7)
Computed, not measured: a geometry-optimized La2Zn2Sn3 structure at the GGA-PBE level of DFT.

Results
As for the space-group type: R3m. The total energy comes out at -3.771 eV/atom. The total magnetization comes out at 0.0 μB per cell.

Geometry as POSCAR:
```
La2Zn2Sn3
1.0
-0.610 -2.606 -9.582
0.317 -6.742 -7.310
-4.181 -5.049 -7.484
Zn Sn La
2 3 2
direct
0.009 0.009 0.009
0.498 0.498 0.498
0.368 0.368 0.368
0.861 0.861 0.861
0.638 0.638 0.638
0.246 0.246 0.246
0.754 0.754 0.754
```

=====

(8)
Computed, not measured: a geometry-optimized SrLaTb structure at the GGA-PBE level of DFT.

Results
As for the space-group type: F-43m. The total energy comes out at -2.905 eV/atom. The total magnetization comes out at 1.0 μB per cell.

Geometry as POSCAR:
```
SrLaTb
1.0
-1.074 -0.293 5.708
-2.904 4.293 2.637
-5.424 -0.895 1.896
Sr La Tb
1 1 1
direct
0.250 0.250 0.250
0.000 0.000 0.000
0.750 0.750 0.750
```